No. 1
{
  "formula": "Tb3PmSm6Sc2",
  "functional": "GGA-PBE",
  "state": "relaxed",
  "e_tot_ev_per_atom": -4.9323,
  "volume_a3_per_cell": 379.7,
  "delta_e_f_ev_per_atom": 0.036,
  "spacegroup": "C2/m (12)",
  "lattice_angstrom": [[-1.4511, 2.4478, -5.4698], [-3.7141, -4.1891, 2.5832], [-4.0926, 9.0034, 6.2701]],
  "species": ["Tb", "Tb", "Tb", "Pm", "Sm", "Sm", "Sm", "Sm", "Sm", "Sm", "Sc", "Sc"],
  "frac_coords": [[0.1670, 0.8330, 0.5000], [0.8330, 0.1670, 0.5000], [0.5000, 0.5000, 0.5000], [0.0000, 0.0000, 0.0000], [0.9175, 0.5806, 0.7545], [0.7455, 0.7455, 0.2454], [0.0825, 0.4194, 0.2455], [0.5806, 0.9175, 0.7545], [0.2545, 0.2545, 0.7546], [0.4194, 0.0825, 0.2455], [0.3334, 0.6666, 0.0000], [0.6666, 0.3334, 0.0000]]
}

***

No. 2
{
  "formula": "Sm9TlIn2",
  "functional": "GGA-PBE",
  "state": "relaxed",
  "e_tot_ev_per_atom": -4.4392,
  "volume_a3_per_cell": 361.3,
  "delta_e_f_ev_per_atom": -0.246,
  "spacegroup": "P4/mmm (123)",
  "lattice_angstrom": [[4.9375, 0.0000, 0.0000], [0.0000, 4.9375, 0.0000], [0.0000, 0.0000, 14.8202]],
  "species": ["Sm", "Sm", "Sm", "Sm", "Sm", "Sm", "Sm", "Sm", "Sm", "Tl", "In", "In"],
  "frac_coords": [[0.5000, 0.5000, 0.0000], [0.5000, 0.5000, 0.3337], [0.5000, 0.5000, 0.6663], [0.5000, 0.0000, 0.1677], [0.5000, 0.0000, 0.5000], [0.5000, 0.0000, 0.8323], [0.0000, 0.5000, 0.1677], [0.0000, 0.5000, 0.5000], [0.0000, 0.5000, 0.8323], [0.0000, 0.0000, 0.0000], [0.0000, 0.0000, 0.3334], [0.0000, 0.0000, 0.6666]]
}